Density functional theory data (GGA-PBE) for a relaxed structure of Al2SnIr2.

Computed properties:
Final energy, eV per atom: -6.33
E_form, kJ/mol of atoms: -47.30
Distance to the lowest polymorph of the same formula, meV per atom: 48

abc: 6.656 6.656 6.656
angles: 147.35 147.35 46.84
Fractional positions:
Al (0.250, 0.750, 0.500)
Al (0.750, 0.250, 0.500)
Sn (0.000, 0.000, 0.000)
Ir (0.388, 0.388, 0.000)
Ir (0.612, 0.612, 0.000)